# 1
Density functional theory data (PBE) for TiAgSnPt after structural relaxation.

Cell: 4.650 4.650 4.650 Å, 60.00 60.00 60.00°
Fractional coordinates of all 4 atoms:
Ti 0.000 0.000 0.000
Ag 0.250 0.250 0.250
Sn 0.500 0.500 0.500
Pt 0.750 0.750 0.750

Calculated values
Raw total energy (eV/atom): -5.514
Formation enthalpy at 0 K (eV per atom): -0.3170
Crystal system: cubic
Volume (A^3/atom): 17.8
Magnetic moment (μB/f.u.): 0.00

***

# 2
Density functional theory data (PBE) for TlAgSn2Pt after structural relaxation.

Cell: 5.135 5.135 5.369 Å, 90.00 90.00 90.00°
Fractional coordinates of all 5 atoms:
Tl 0.000 0.000 0.000
Ag 0.500 0.500 0.000
Sn 0.000 0.500 0.500
Sn 0.500 0.000 0.500
Pt 0.500 0.500 0.500

Calculated values
Raw total energy (eV/atom): -3.808
Formation enthalpy at 0 K (eV per atom): 0.0445
Crystal system: tetragonal
Volume (A^3/atom): 28.3
Magnetic moment (μB/f.u.): 0.00

***

# 3
Density functional theory data (PBE) for Y2AgSnPt after structural relaxation.

Cell: 5.447 5.447 4.975 Å, 90.00 90.00 90.00°
Fractional coordinates of all 5 atoms:
Y 0.000 0.500 0.000
Y 0.500 0.000 0.000
Ag 0.000 0.000 0.000
Sn 0.500 0.500 0.500
Pt 0.000 0.000 0.500

Calculated values
Raw total energy (eV/atom): -5.041
Formation enthalpy at 0 K (eV per atom): 0.1234
Crystal system: tetragonal
Volume (A^3/atom): 29.5
Magnetic moment (μB/f.u.): 0.00

***

# 4
Density functional theory data (PBE) for ZnAgSnPt after structural relaxation.

Cell: 4.641 4.641 4.641 Å, 60.00 60.00 60.00°
Fractional coordinates of all 4 atoms:
Zn 0.000 0.000 0.000
Ag 0.750 0.750 0.750
Sn 0.500 0.500 0.500
Pt 0.250 0.250 0.250

Calculated values
Raw total energy (eV/atom): -3.716
Formation enthalpy at 0 K (eV per atom): -0.1733
Crystal system: cubic
Volume (A^3/atom): 17.7
Magnetic moment (μB/f.u.): 0.00

***

# 5
Density functional theory data (PBE) for ZrAgSnPt after structural relaxation.

Cell: 4.772 4.772 4.772 Å, 60.00 60.00 60.00°
Fractional coordinates of all 4 atoms:
Zr 0.000 0.000 0.000
Ag 0.750 0.750 0.750
Sn 0.500 0.500 0.500
Pt 0.250 0.250 0.250

Calculated values
Raw total energy (eV/atom): -5.814
Formation enthalpy at 0 K (eV per atom): -0.4535
Crystal system: cubic
Volume (A^3/atom): 19.2
Magnetic moment (μB/f.u.): 0.00

***

# 6
Density functional theory data (PBE) for Sr4Ag3Pt after structural relaxation.

Cell: 4.382 4.747 11.775 Å, 90.00 90.00 90.00°
Fractional coordinates of all 8 atoms:
Sr 0.000 0.000 0.000
Sr 0.000 0.500 0.261
Sr 0.500 0.000 0.470
Sr 0.500 0.500 0.766
Ag 0.000 0.000 0.694
Ag 0.000 0.500 0.552
Ag 0.500 0.500 0.056
Pt 0.500 0.000 0.200

Calculated values
Raw total energy (eV/atom): -3.113
Formation enthalpy at 0 K (eV per atom): -0.4477
Crystal system: orthorhombic
Volume (A^3/atom): 30.6
Magnetic moment (μB/f.u.): 0.00

***

# 7
Density functional theory data (PBE) for SrAg2Pt after structural relaxation.

Cell: 3.584 3.584 6.895 Å, 90.00 90.00 90.00°
Fractional coordinates of all 4 atoms:
Sr 0.000 0.000 0.000
Ag 0.000 0.000 0.530
Ag 0.500 0.500 0.328
Pt 0.500 0.500 0.739

Calculated values
Raw total energy (eV/atom): -3.530
Formation enthalpy at 0 K (eV per atom): -0.1742
Crystal system: tetragonal
Volume (A^3/atom): 22.1
Magnetic moment (μB/f.u.): 0.00

***

# 8
Density functional theory data (PBE) for SrAg2Pt after structural relaxation.

Cell: 5.349 5.349 5.349 Å, 131.03 131.03 71.76°
Fractional coordinates of all 4 atoms:
Sr 0.000 0.000 0.000
Ag 0.250 0.750 0.500
Ag 0.500 0.500 0.000
Pt 0.750 0.250 0.500

Calculated values
Raw total energy (eV/atom): -3.571
Formation enthalpy at 0 K (eV per atom): -0.2148
Crystal system: tetragonal
Volume (A^3/atom): 21.3
Magnetic moment (μB/f.u.): 0.00

***

# 9
Density functional theory data (PBE) for Sr4AgPt after structural relaxation.

Cell: 6.709 6.709 6.709 Å, 60.00 60.00 60.00°
Fractional coordinates of all 6 atoms:
Sr 0.376 0.376 0.376
Sr 0.376 0.376 0.873
Sr 0.376 0.873 0.376
Sr 0.873 0.376 0.376
Ag 0.000 0.000 0.000
Pt 0.750 0.750 0.750

Calculated values
Raw total energy (eV/atom): -1.980
Formation enthalpy at 0 K (eV per atom): 0.6227
Crystal system: cubic
Volume (A^3/atom): 35.6
Magnetic moment (μB/f.u.): 0.00

***

# 10
Density functional theory data (PBE) for SrAg4Pt2 after structural relaxation.

Cell: 5.700 5.700 5.700 Å, 103.72 103.72 121.70°
Fractional coordinates of all 7 atoms:
Sr 0.000 0.000 0.000
Ag 0.302 0.302 0.604
Ag 0.302 0.698 0.000
Ag 0.698 0.302 0.000
Ag 0.698 0.698 0.396
Pt 0.250 0.750 0.500
Pt 0.750 0.250 0.500

Calculated values
Raw total energy (eV/atom): -3.813
Formation enthalpy at 0 K (eV per atom): -0.2175
Crystal system: tetragonal
Volume (A^3/atom): 19.7
Magnetic moment (μB/f.u.): 0.00

***

# 11
Density functional theory data (PBE) for SrAg2Pt after structural relaxation.

Cell: 4.721 4.721 5.751 Å, 114.15 114.15 60.01°
Fractional coordinates of all 4 atoms:
Sr 0.000 0.000 0.000
Ag 0.517 0.517 0.551
Ag 0.801 0.801 0.400
Pt 0.200 0.200 0.600

Calculated values
Raw total energy (eV/atom): -3.681
Formation enthalpy at 0 K (eV per atom): -0.3251
Crystal system: monoclinic
Volume (A^3/atom): 24.5
Magnetic moment (μB/f.u.): 0.00

***

# 12
Density functional theory data (PBE) for SrAgPt2 after structural relaxation.

Cell: 3.057 4.161 6.327 Å, 90.00 90.40 90.00°
Fractional coordinates of all 4 atoms:
Sr 0.000 0.000 0.000
Ag 0.000 0.000 0.500
Pt 0.499 0.500 0.717
Pt 0.501 0.500 0.283

Calculated values
Raw total energy (eV/atom): -4.387
Formation enthalpy at 0 K (eV per atom): -0.2331
Crystal system: monoclinic
Volume (A^3/atom): 20.1
Magnetic moment (μB/f.u.): 0.00

***

# 13
Density functional theory data (PBE) for SrAgPt4 after structural relaxation.

Cell: 5.436 5.436 5.436 Å, 60.00 60.00 60.00°
Fractional coordinates of all 6 atoms:
Sr 0.000 0.000 0.000
Ag 0.750 0.750 0.750
Pt 0.375 0.375 0.375
Pt 0.375 0.375 0.874
Pt 0.375 0.874 0.375
Pt 0.874 0.375 0.375

Calculated values
Raw total energy (eV/atom): -5.270
Formation enthalpy at 0 K (eV per atom): -0.4876
Crystal system: cubic
Volume (A^3/atom): 18.9
Magnetic moment (μB/f.u.): 0.00

***

# 14
Density functional theory data (PBE) for SrAg2Pt after structural relaxation.

Cell: 4.982 4.982 4.982 Å, 60.00 60.00 60.00°
Fractional coordinates of all 4 atoms:
Sr 0.000 0.000 0.000
Ag 0.250 0.250 0.250
Ag 0.500 0.500 0.500
Pt 0.750 0.750 0.750

Calculated values
Raw total energy (eV/atom): -3.540
Formation enthalpy at 0 K (eV per atom): -0.1836
Crystal system: cubic
Volume (A^3/atom): 21.9
Magnetic moment (μB/f.u.): 0.00

***

# 15
Density functional theory data (PBE) for SrAgPt3 after structural relaxation.

Cell: 4.984 4.984 4.984 Å, 90.00 90.00 90.00°
Fractional coordinates of all 5 atoms:
Sr 0.000 0.000 0.000
Ag 0.500 0.500 0.500
Pt 0.000 0.500 0.500
Pt 0.500 0.000 0.500
Pt 0.500 0.500 0.000

Calculated values
Raw total energy (eV/atom): -4.092
Formation enthalpy at 0 K (eV per atom): 0.4389
Crystal system: cubic
Volume (A^3/atom): 24.8
Magnetic moment (μB/f.u.): 0.00

***

# 16
Density functional theory data (PBE) for SrAg2Pt after structural relaxation.

Cell: 4.214 4.302 4.685 Å, 90.00 90.00 90.00°
Fractional coordinates of all 4 atoms:
Sr 0.000 0.000 0.000
Ag 0.000 0.500 0.500
Ag 0.500 0.000 0.500
Pt 0.500 0.500 0.000

Calculated values
Raw total energy (eV/atom): -3.575
Formation enthalpy at 0 K (eV per atom): -0.2190
Crystal system: orthorhombic
Volume (A^3/atom): 21.2
Magnetic moment (μB/f.u.): 0.00

***

# 17
Density functional theory data (PBE) for Sr7Ag2Pt2 after structural relaxation.

Cell: 7.396 7.396 7.592 Å, 90.00 90.00 105.19°
Fractional coordinates of all 11 atoms:
Sr 0.000 0.000 0.000
Sr 0.000 0.500 0.257
Sr 0.000 0.500 0.743
Sr 0.500 0.000 0.257
Sr 0.500 0.000 0.743
Sr 0.500 0.500 0.244
Sr 0.500 0.500 0.756
Ag 0.173 0.173 0.500
Ag 0.827 0.827 0.500
Pt 0.285 0.715 0.000
Pt 0.715 0.285 0.000

Calculated values
Raw total energy (eV/atom): -3.096
Formation enthalpy at 0 K (eV per atom): -0.4087
Crystal system: orthorhombic
Volume (A^3/atom): 36.4
Magnetic moment (μB/f.u.): 0.00

***

# 18
Density functional theory data (PBE) for Sr3AgPt8 after structural relaxation.

Cell: 9.509 9.509 9.509 Å, 33.70 33.70 33.70°
Fractional coordinates of all 12 atoms:
Sr 0.000 0.000 0.000
Sr 0.128 0.128 0.128
Sr 0.509 0.509 0.509
Ag 0.632 0.632 0.632
Pt 0.063 0.566 0.566
Pt 0.067 0.067 0.567
Pt 0.067 0.567 0.067
Pt 0.316 0.316 0.316
Pt 0.566 0.063 0.566
Pt 0.566 0.566 0.063
Pt 0.567 0.067 0.067
Pt 0.816 0.816 0.816

Calculated values
Raw total energy (eV/atom): -5.375
Formation enthalpy at 0 K (eV per atom): -0.6895
Crystal system: trigonal
Volume (A^3/atom): 19.7
Magnetic moment (μB/f.u.): 0.00

***

# 19
Density functional theory data (PBE) for SrAgPt2 after structural relaxation.

Cell: 4.676 4.676 5.824 Å, 113.78 113.78 60.03°
Fractional coordinates of all 4 atoms:
Sr 0.000 0.000 0.000
Ag 0.500 0.500 0.500
Pt 0.187 0.187 0.561
Pt 0.813 0.813 0.439

Calculated values
Raw total energy (eV/atom): -4.574
Formation enthalpy at 0 K (eV per atom): -0.4208
Crystal system: monoclinic
Volume (A^3/atom): 24.4
Magnetic moment (μB/f.u.): 0.00

***

# 20
Density functional theory data (PBE) for SrAgPt2 after structural relaxation.

Cell: 9.979 9.979 9.979 Å, 152.15 152.15 39.80°
Fractional coordinates of all 8 atoms:
Sr 0.000 0.000 0.000
Sr 0.750 0.250 0.500
Ag 0.250 0.750 0.500
Ag 0.500 0.500 0.000
Pt 0.301 0.625 0.176
Pt 0.375 0.551 0.676
Pt 0.449 0.125 0.824
Pt 0.875 0.699 0.324

Calculated values
Raw total energy (eV/atom): -4.361
Formation enthalpy at 0 K (eV per atom): -0.2069
Crystal system: tetragonal
Volume (A^3/atom): 27.1
Magnetic moment (μB/f.u.): 0.00